A plane-wave DFT calculation with PBE-GGA was carried out for Er5ThIn6 after structural relaxation.

Calculated values
* density of states at the Fermi level: 5.7 states/eV/cell
* total magnetic moment: 0.000 μB/cell
* ΔE_f: -0.400 eV per atom

Cell lengths 9.1884, 9.1884, 5.3566 Å; angles 105.79, 105.79, 47.52 degrees
Sites, in units of the cell vectors:
Er1 0.0000 0.0000 0.0000
Er2 0.1699 0.1699 0.6704
Er3 0.3410 0.3410 0.3413
Er4 0.6590 0.6590 0.6587
Er5 0.8301 0.8301 0.3296
Th1 0.5000 0.5000 0.0000
In1 0.0695 0.5881 0.8291
In2 0.2310 0.7690 0.5000
In3 0.4119 0.9305 0.1709
In4 0.5881 0.0695 0.8291
In5 0.7690 0.2310 0.5000
In6 0.9305 0.4119 0.1709

***

A plane-wave DFT calculation with PBE-GGA was carried out for LiCaTeSeF after structural relaxation.

Calculated values
* ΔE_f (raw): -1.748 eV/atom
* total magnetic moment: 0.000 μB/cell
* distance to the lowest polymorph of the same formula: 14 meV per atom

Cell lengths 4.4405, 4.6855, 6.1470 Å; angles 82.34, 89.82, 78.49 degrees
Sites, in units of the cell vectors:
Li1 0.0000 0.0000 0.0000
Ca1 0.5111 0.8238 0.3993
Te1 0.3761 0.4121 0.0036
Se1 0.6758 0.2518 0.6625
F1 0.0055 0.8438 0.3050

***

A plane-wave DFT calculation with PBE-GGA was carried out for TmH6Pd3 after structural relaxation.

Calculated values
* density of states at the Fermi level: 1.4 states/eV/cell
* total magnetic moment: 0.000 μB/cell
* VASP energy: -4.32 eV/atom

Cell lengths 5.2570, 5.2570, 5.2570 Å; angles 55.48, 55.48, 55.48 degrees
Sites, in units of the cell vectors:
Tm1 0.0000 0.0000 0.0000
H1 0.0128 0.5442 0.4969
H2 0.1790 0.5477 0.8318
H3 0.4969 0.0128 0.5442
H4 0.5442 0.4969 0.0128
H5 0.5477 0.8318 0.1790
H6 0.8318 0.1790 0.5477
Pd1 0.2240 0.2240 0.2240
Pd2 0.4420 0.4420 0.4420
Pd3 0.7728 0.7728 0.7728

***

A plane-wave DFT calculation with PBE-GGA was carried out for PrLuScAg after structural relaxation.

Calculated values
* density of states at the Fermi level: 5.1 states/eV/cell
* total magnetic moment: 0.001 μB/cell
* ΔE_f: 0.050 eV per atom

Cell lengths 5.3116, 5.3116, 5.3116 Å; angles 60.00, 60.00, 60.00 degrees
Sites, in units of the cell vectors:
Pr1 0.0000 0.0000 0.0000
Lu1 0.5000 0.5000 0.5000
Sc1 0.7500 0.7500 0.7500
Ag1 0.2500 0.2500 0.2500

***

A plane-wave DFT calculation with PBE-GGA was carried out for TaSbMo after structural relaxation.

Calculated values
* ΔE_f (raw): 0.070 eV/atom
* density of states at the Fermi level: 2.1 states/eV/cell
* total magnetic moment: 0.000 μB/cell
* distance to the lowest polymorph of the same formula: 153 meV per atom

Cell lengths 2.9965, 4.2755, 9.9180 Å; angles 90.00, 96.39, 90.00 degrees
Sites, in units of the cell vectors:
Ta1 0.0908 0.2500 0.1988
Ta2 0.9092 0.7500 0.8012
Sb1 0.3296 0.2500 0.6471
Sb2 0.6704 0.7500 0.3529
Mo1 0.3099 0.2500 0.9405
Mo2 0.6901 0.7500 0.0595

***

A plane-wave DFT calculation with PBE-GGA was carried out for Si2TcSe after structural relaxation.

Calculated values
* ΔE_f (raw): 0.054 eV/atom
* density of states at the Fermi level: 2.8 states/eV/cell
* total magnetic moment: 0.000 μB/cell

Cell lengths 7.3292, 7.3292, 7.3292 Å; angles 25.18, 25.18, 25.18 degrees
Sites, in units of the cell vectors:
Si1 0.2456 0.2456 0.2456
Si2 0.7544 0.7544 0.7544
Tc1 0.5000 0.5000 0.5000
Se1 0.0000 0.0000 0.0000

***

A plane-wave DFT calculation with PBE-GGA was carried out for Sn2PdAu after structural relaxation.

Calculated values
* density of states at the Fermi level: 1.9 states/eV/cell
* total magnetic moment: 0.000 μB/cell
* distance to the lowest polymorph of the same formula: 138 meV per atom
* ΔE_f: -0.216 eV per atom

Cell lengths 6.5219, 6.5219, 6.5219 Å; angles 37.11, 37.11, 37.11 degrees
Sites, in units of the cell vectors:
Sn1 0.0000 0.0000 0.0000
Sn2 0.1821 0.1821 0.1821
Pd1 0.5882 0.5882 0.5882
Au1 0.4238 0.4238 0.4238

***

A plane-wave DFT calculation with PBE-GGA was carried out for CsMgTlCd after structural relaxation.

Calculated values
* density of states at the Fermi level: 3.3 states/eV/cell
* total magnetic moment: 0.000 μB/cell
* ΔE_f: 0.003 eV per atom

Cell lengths 3.8000, 3.8000, 9.2756 Å; angles 90.01, 90.01, 89.98 degrees
Sites, in units of the cell vectors:
Cs1 0.0000 0.0000 0.0000
Mg1 0.0019 0.0019 0.5106
Tl1 0.5014 0.5014 0.3201
Cd1 0.5007 0.5007 0.6793

***

Q: Look up the total magnetic moment of the second one.
A: 0.000 μB/cell

***

Please write out number 2 again, unchanged.
A plane-wave DFT calculation with PBE-GGA was carried out for LiCaTeSeF after structural relaxation.

Calculated values
* ΔE_f (raw): -1.748 eV/atom
* total magnetic moment: 0.000 μB/cell
* distance to the lowest polymorph of the same formula: 14 meV per atom

Cell lengths 4.4405, 4.6855, 6.1470 Å; angles 82.34, 89.82, 78.49 degrees
Sites, in units of the cell vectors:
Li1 0.0000 0.0000 0.0000
Ca1 0.5111 0.8238 0.3993
Te1 0.3761 0.4121 0.0036
Se1 0.6758 0.2518 0.6625
F1 0.0055 0.8438 0.3050